# 1
Compound: Ca2WN2
Source: Alexandria via LeMat-Bulk
Functional: PBE-GGA
Structure: optimized geometry

```
Ca2WN2
1.0
5.525 -2.584 0.000
5.525 2.584 0.000
-3.003 0.000 5.890
Ca W N
4 2 4
Direct
0.025 0.025 0.268
0.322 0.322 0.871
0.678 0.678 0.129
0.975 0.975 0.732
0.356 0.356 0.370
0.644 0.644 0.630
0.183 0.183 0.116
0.498 0.498 0.718
0.502 0.502 0.282
0.817 0.817 0.884
```

Values from the calculation:
The energy is -7.429 eV per atom. Its uncorrected formation energy is -0.707 eV/atom. For the magnetic moment, the calculation gives 0.00 μB per formula unit.

# 2
Compound: CaWN3
Source: Alexandria via LeMat-Bulk
Functional: PBE-GGA
Structure: optimized geometry

```
CaWN3
1.0
0.000 5.200 5.200
5.200 0.000 5.200
5.200 5.200 0.000
Ca W N
4 4 12
Direct
0.000 0.000 0.000
0.000 0.000 0.500
0.000 0.500 0.000
0.500 0.000 0.000
0.000 0.500 0.500
0.500 0.000 0.500
0.500 0.500 0.000
0.500 0.500 0.500
0.173 0.173 0.577
0.173 0.577 0.173
0.173 0.577 0.577
0.423 0.423 0.827
0.423 0.827 0.423
0.423 0.827 0.827
0.577 0.173 0.173
0.577 0.173 0.577
0.577 0.577 0.173
0.827 0.423 0.423
0.827 0.423 0.827
0.827 0.827 0.423
```

Values from the calculation:
The energy is -8.125 eV per atom. Its uncorrected formation energy is -0.139 eV/atom. For the magnetic moment, the calculation gives 0.00 μB per formula unit.

# 3
Compound: CaWN3
Source: Alexandria via LeMat-Bulk
Functional: PBE-GGA
Structure: optimized geometry

```
CaWN3
1.0
3.796 0.000 0.000
0.000 4.053 0.000
-1.335 0.000 8.091
Ca W N
2 2 6
Direct
0.000 0.000 0.000
0.126 0.000 0.445
0.578 0.500 0.215
0.731 0.500 0.693
0.066 0.500 0.167
0.236 0.500 0.796
0.507 0.500 0.921
0.578 0.000 0.208
0.694 0.500 0.453
0.699 0.000 0.690
```

Values from the calculation:
The energy is -8.557 eV per atom. Its uncorrected formation energy is -0.571 eV/atom. For the magnetic moment, the calculation gives 0.16 μB per formula unit.

# 4
Compound: CaWN
Source: Alexandria via LeMat-Bulk
Functional: PBE-GGA
Structure: optimized geometry

```
CaWN
1.0
11.395 0.000 0.000
0.000 1.584 2.628
0.000 -1.584 2.628
Ca W N
2 2 2
Direct
0.125 0.000 0.000
0.875 0.000 0.000
0.388 0.450 0.450
0.612 0.450 0.450
0.000 0.344 0.344
0.500 0.113 0.113
```

Values from the calculation:
The energy is -7.561 eV per atom. Its uncorrected formation energy is 0.199 eV/atom. For the magnetic moment, the calculation gives 0.11 μB per formula unit.

# 5
Compound: CaWN3
Source: Alexandria via LeMat-Bulk
Functional: PBE-GGA
Structure: optimized geometry

```
CaWN3
1.0
3.702 0.000 0.000
-0.152 5.834 0.000
-1.079 -1.852 6.979
Ca W N
2 2 6
Direct
0.182 0.314 0.187
0.818 0.686 0.813
0.283 0.112 0.687
0.717 0.888 0.313
0.228 0.028 0.385
0.291 0.431 0.753
0.407 0.026 0.924
0.593 0.974 0.076
0.709 0.569 0.247
0.772 0.972 0.615
```

Values from the calculation:
The energy is -8.635 eV per atom. Its uncorrected formation energy is -0.649 eV/atom. For the magnetic moment, the calculation gives 0.00 μB per formula unit.

# 6
Compound: CaW3N
Source: Alexandria via LeMat-Bulk
Functional: PBE-GGA
Structure: optimized geometry

```
CaW3N
1.0
4.612 0.000 0.000
0.000 4.612 0.000
0.000 0.000 4.612
Ca W N
1 3 1
Direct
0.000 0.000 0.000
0.000 0.000 0.500
0.000 0.500 0.000
0.500 0.000 0.000
0.500 0.500 0.500
```

Values from the calculation:
The energy is -5.466 eV per atom. Its uncorrected formation energy is 4.371 eV/atom. For the magnetic moment, the calculation gives 0.00 μB per formula unit.

# 7
Compound: Ca2WN3
Source: Alexandria via LeMat-Bulk
Functional: PBE-GGA
Structure: optimized geometry

```
Ca2WN3
1.0
5.260 -2.592 0.000
5.260 2.592 0.000
-1.887 0.000 5.960
Ca W N
4 2 6
Direct
0.176 0.177 0.089
0.177 0.176 0.589
0.823 0.824 0.411
0.824 0.823 0.911
0.438 0.562 0.750
0.562 0.438 0.250
0.086 0.914 0.750
0.354 0.364 0.931
0.364 0.354 0.431
0.636 0.646 0.569
0.646 0.636 0.069
0.914 0.086 0.250
```

Values from the calculation:
The energy is -7.887 eV per atom. Its uncorrected formation energy is -0.898 eV/atom. For the magnetic moment, the calculation gives 0.00 μB per formula unit.

# 8
Compound: CaWN3
Source: Alexandria via LeMat-Bulk
Functional: PBE-GGA
Structure: optimized geometry

```
CaWN3
1.0
6.162 -1.865 0.000
6.162 1.865 0.000
-1.561 0.000 6.240
Ca W N
2 2 6
Direct
0.124 0.124 0.333
0.876 0.876 0.667
0.351 0.351 0.139
0.649 0.649 0.861
0.179 0.179 0.983
0.345 0.345 0.415
0.494 0.494 0.887
0.506 0.506 0.113
0.655 0.655 0.585
0.821 0.821 0.017
```

Values from the calculation:
The energy is -8.656 eV per atom. Its uncorrected formation energy is -0.670 eV/atom. For the magnetic moment, the calculation gives 0.00 μB per formula unit.

# 9
Compound: CaWN3
Source: Alexandria via LeMat-Bulk
Functional: PBE-GGA
Structure: optimized geometry

```
CaWN3
1.0
3.978 0.000 0.000
0.000 3.978 0.000
0.000 0.000 3.978
Ca W N
1 1 3
Direct
0.000 0.000 0.000
0.500 0.500 0.500
0.000 0.000 0.500
0.000 0.500 0.000
0.500 0.000 0.000
```

Values from the calculation:
The energy is -5.423 eV per atom. Its uncorrected formation energy is 2.563 eV/atom. For the magnetic moment, the calculation gives 0.00 μB per formula unit.

# 10
Compound: Ca2WN2
Source: Alexandria via LeMat-Bulk
Functional: PBE-GGA
Structure: optimized geometry

```
Ca2WN2
1.0
5.281 0.000 0.000
2.616 5.700 0.000
2.481 -1.084 6.078
Ca W N
4 2 4
Direct
0.091 0.078 0.220
0.291 0.282 0.663
0.709 0.718 0.337
0.909 0.922 0.780
0.422 0.433 0.190
0.578 0.567 0.810
0.186 0.710 0.394
0.417 0.890 0.773
0.583 0.110 0.227
0.814 0.290 0.606
```

Values from the calculation:
The energy is -7.397 eV per atom. Its uncorrected formation energy is -0.675 eV/atom. For the magnetic moment, the calculation gives 0.00 μB per formula unit.

# 11
Compound: CaW2N4
Source: Alexandria via LeMat-Bulk
Functional: PBE-GGA
Structure: optimized geometry

```
CaW2N4
1.0
-2.161 2.161 5.496
2.161 -2.161 5.496
2.161 2.161 -5.496
Ca W N
1 2 4
Direct
0.000 0.000 0.000
0.383 0.383 0.000
0.617 0.617 0.000
0.000 0.500 0.500
0.228 0.228 0.000
0.500 0.000 0.500
0.772 0.772 0.000
```

Values from the calculation:
The energy is -7.827 eV per atom. Its uncorrected formation energy is 0.917 eV/atom. For the magnetic moment, the calculation gives 1.99 μB per formula unit.

# 12
Compound: Ca5WN6
Source: Alexandria via LeMat-Bulk
Functional: PBE-GGA
Structure: optimized geometry

```
Ca5WN6
1.0
2.955 -5.113 0.000
2.955 5.113 0.000
-1.994 0.000 5.527
Ca W N
5 1 6
Direct
0.000 0.000 0.000
0.167 0.833 0.500
0.335 0.665 0.000
0.665 0.335 0.000
0.833 0.167 0.500
0.500 0.500 0.500
0.137 0.426 0.277
0.286 0.286 0.717
0.426 0.137 0.277
0.574 0.863 0.723
0.714 0.714 0.283
0.863 0.574 0.723
```

Values from the calculation:
The energy is -6.831 eV per atom. Its uncorrected formation energy is -0.755 eV/atom. For the magnetic moment, the calculation gives 1.50 μB per formula unit.

# 13
Compound: CaWN3
Source: Alexandria via LeMat-Bulk
Functional: PBE-GGA
Structure: optimized geometry

```
CaWN3
1.0
3.546 0.000 0.000
-1.773 3.071 0.000
0.000 0.000 12.763
Ca W N
2 2 6
Direct
0.000 0.000 0.000
0.000 0.000 0.500
0.333 0.667 0.250
0.667 0.333 0.750
0.000 0.000 0.250
0.000 0.000 0.750
0.333 0.667 0.101
0.333 0.667 0.399
0.667 0.333 0.601
0.667 0.333 0.899
```

Values from the calculation:
The energy is -8.128 eV per atom. Its uncorrected formation energy is -0.141 eV/atom. For the magnetic moment, the calculation gives 1.01 μB per formula unit.

# 14
Compound: CaWN3
Source: Alexandria via LeMat-Bulk
Functional: PBE-GGA
Structure: optimized geometry

```
CaWN3
1.0
3.215 0.000 0.000
1.052 6.270 0.000
0.893 1.610 6.572
Ca W N
2 2 6
Direct
0.174 0.173 0.161
0.826 0.827 0.839
0.169 0.632 0.304
0.831 0.368 0.696
0.188 0.601 0.610
0.253 0.130 0.773
0.362 0.572 0.040
0.638 0.428 0.960
0.747 0.870 0.227
0.812 0.399 0.390
```

Values from the calculation:
The energy is -8.583 eV per atom. Its uncorrected formation energy is -0.597 eV/atom. For the magnetic moment, the calculation gives 0.00 μB per formula unit.

# 15
Compound: CaWN3
Source: Alexandria via LeMat-Bulk
Functional: PBE-GGA
Structure: optimized geometry

```
CaWN3
1.0
3.145 0.000 0.000
0.000 4.026 0.000
0.000 0.000 4.879
Ca W N
1 1 3
Direct
0.000 0.000 0.000
0.500 0.500 0.428
0.000 0.177 0.514
0.000 0.823 0.514
0.500 0.500 0.054
```

Values from the calculation:
The energy is -8.430 eV per atom. Its uncorrected formation energy is -0.444 eV/atom. For the magnetic moment, the calculation gives 0.00 μB per formula unit.

# 16
Compound: CaW3N
Source: Alexandria via LeMat-Bulk
Functional: PBE-GGA
Structure: optimized geometry

```
CaW3N
1.0
4.269 0.000 0.000
0.000 4.269 0.000
0.000 0.000 4.269
Ca W N
1 3 1
Direct
0.000 0.000 0.000
0.000 0.500 0.500
0.500 0.000 0.500
0.500 0.500 0.000
0.500 0.500 0.500
```

Values from the calculation:
The energy is -9.392 eV per atom. Its uncorrected formation energy is 0.445 eV/atom. For the magnetic moment, the calculation gives 0.00 μB per formula unit.

# 17
Compound: Ca2WN2
Source: Alexandria via LeMat-Bulk
Functional: PBE-GGA
Structure: optimized geometry

```
Ca2WN2
1.0
-1.797 1.797 5.421
1.797 -1.797 5.421
1.797 1.797 -5.421
Ca W N
2 1 2
Direct
0.250 0.750 0.500
0.750 0.250 0.500
0.000 0.000 0.000
0.389 0.389 0.000
0.611 0.611 0.000
```

Values from the calculation:
The energy is -5.405 eV per atom. Its uncorrected formation energy is 1.316 eV/atom. For the magnetic moment, the calculation gives 0.00 μB per formula unit.

# 18
Compound: CaWN3
Source: Alexandria via LeMat-Bulk
Functional: PBE-GGA
Structure: optimized geometry

```
CaWN3
1.0
5.268 -5.150 0.000
5.268 5.150 0.000
-0.244 0.000 5.166
Ca W N
4 4 12
Direct
0.118 0.317 0.333
0.317 0.118 0.833
0.683 0.882 0.167
0.882 0.683 0.667
0.232 0.768 0.250
0.407 0.593 0.750
0.593 0.407 0.250
0.768 0.232 0.750
0.000 0.226 0.890
0.000 0.774 0.110
0.184 0.608 0.550
0.226 0.000 0.390
0.326 0.462 0.058
0.392 0.816 0.950
0.462 0.326 0.558
0.538 0.674 0.442
0.608 0.184 0.050
0.674 0.538 0.942
0.774 0.000 0.610
0.816 0.392 0.450
```

Values from the calculation:
The energy is -8.377 eV per atom. Its uncorrected formation energy is -0.391 eV/atom. For the magnetic moment, the calculation gives 0.94 μB per formula unit.

# 19
Compound: CaWN3
Source: Alexandria via LeMat-Bulk
Functional: PBE-GGA
Structure: optimized geometry

```
CaWN3
1.0
5.404 0.000 0.000
0.000 3.428 0.000
-0.055 0.000 7.902
Ca W N
2 2 6
Direct
0.000 0.000 0.000
0.020 0.000 0.500
0.516 0.500 0.232
0.562 0.500 0.777
0.219 0.500 0.848
0.244 0.500 0.666
0.331 0.000 0.247
0.675 0.500 0.023
0.720 0.000 0.733
0.772 0.500 0.375
```

Values from the calculation:
The energy is -8.592 eV per atom. Its uncorrected formation energy is -0.606 eV/atom. For the magnetic moment, the calculation gives 0.00 μB per formula unit.

# 20
Compound: CaWN3
Source: Alexandria via LeMat-Bulk
Functional: PBE-GGA
Structure: optimized geometry

```
CaWN3
1.0
3.759 0.000 0.000
0.000 2.860 0.000
-0.411 0.000 5.634
Ca W N
1 1 3
Direct
0.000 0.000 0.000
0.540 0.000 0.464
0.224 0.500 0.607
0.549 0.500 0.198
0.875 0.500 0.657
```

Values from the calculation:
The energy is -8.309 eV per atom. Its uncorrected formation energy is -0.323 eV/atom. For the magnetic moment, the calculation gives 0.00 μB per formula unit.